K2TbCrO4 | GGA+U | optimized geometry

a = 3.338 Å, b = 5.701 Å, c = 6.474 Å
α = 107.45°, β = 90.00°, γ = 90.00°
Atoms (fractional coordinates):
Cr1 0.000 0.000 0.000
O1 0.500 0.206 0.177
O2 0.000 0.750 0.183
O3 0.000 0.250 0.817
O4 0.500 0.794 0.823
K1 0.000 0.500 0.500
K2 0.500 0.000 0.500
Tb1 0.500 0.500 0.000

## Properties
electronic total energy: -6.4663 eV per atom
DOS at the Fermi energy: 0.0 states/eV per cell
SG: No. 10
total magnetization: 3.00 μB/f.u.



KTbCrO4 | GGA+U | optimized geometry

a = 5.857 Å, b = 5.885 Å, c = 7.404 Å
α = 90.00°, β = 108.07°, γ = 90.00°
Atoms (fractional coordinates):
K1 0.694 0.750 0.932
K2 0.306 0.250 0.068
O1 0.044 0.523 0.320
O2 0.956 0.477 0.680
O3 0.044 0.977 0.320
O4 0.540 0.250 0.808
O5 0.469 0.750 0.566
O6 0.956 0.023 0.680
O7 0.460 0.750 0.192
O8 0.531 0.250 0.434
Tb1 0.193 0.250 0.542
Tb2 0.807 0.750 0.458
Cr1 0.735 0.250 0.667
Cr2 0.265 0.750 0.333

## Properties
electronic total energy: -7.0037 eV per atom
DOS at the Fermi energy: 0.0 states/eV per cell
SG: No. 11
total magnetization: 2.00 μB/f.u.



K3Tb2CrO6 | GGA+U | optimized geometry

a = 5.848 Å, b = 5.848 Å, c = 6.510 Å
α = 98.58°, β = 98.58°, γ = 120.00°
Atoms (fractional coordinates):
Cr1 0.000 0.000 0.000
Tb1 0.333 0.667 0.000
Tb2 0.667 0.333 0.000
O1 0.371 0.061 0.182
O2 0.250 0.250 0.819
O3 0.939 0.629 0.818
O4 0.750 0.750 0.181
O5 0.629 0.939 0.818
O6 0.061 0.371 0.182
K1 0.163 0.837 0.500
K2 0.837 0.163 0.500
K3 0.500 0.500 0.500

## Properties
electronic total energy: -6.5298 eV per atom
DOS at the Fermi energy: 0.0 states/eV per cell
SG: No. 12
total magnetization: 2.99 μB/f.u.



KCrTcO6 | GGA+U | optimized geometry

a = 5.268 Å, b = 5.093 Å, c = 5.941 Å
α = 88.55°, β = 88.71°, γ = 60.21°
Atoms (fractional coordinates):
O1 0.603 0.399 0.686
O2 0.410 0.572 0.308
O3 0.001 0.399 0.318
O4 0.387 0.006 0.680
O5 0.003 0.621 0.671
O6 0.577 0.011 0.316
Cr1 0.685 0.652 0.480
K1 0.997 0.000 0.017
Tc1 0.337 0.341 0.524

## Properties
electronic total energy: -6.8686 eV per atom
SG: No. 1
total magnetization: 2.00 μB/f.u.



KCr2TcO8 | GGA+U | optimized geometry

a = 5.326 Å, b = 5.326 Å, c = 7.819 Å
α = 87.27°, β = 87.27°, γ = 63.45°
Atoms (fractional coordinates):
O1 0.716 0.206 0.825
O2 0.685 0.685 0.410
O3 0.211 0.211 0.926
O4 0.794 0.284 0.175
O5 0.284 0.794 0.175
O6 0.789 0.789 0.074
O7 0.315 0.315 0.590
O8 0.206 0.716 0.825
Cr1 0.640 0.640 0.212
Cr2 0.360 0.360 0.788
K1 0.000 0.000 0.500
Tc1 0.000 0.000 0.000

## Properties
electronic total energy: -6.8869 eV per atom
DOS at the Fermi energy: 3.2 states/eV per cell
SG: No. 12
total magnetization: 1.65 μB/f.u.



KCr2TcO | GGA+U | optimized geometry

a = 4.224 Å, b = 4.224 Å, c = 4.960 Å
α = 90.00°, β = 90.00°, γ = 90.00°
Atoms (fractional coordinates):
Tc1 0.500 0.500 0.500
O1 0.000 0.000 0.000
K1 0.000 0.000 0.500
Cr1 0.000 0.500 0.000
Cr2 0.500 0.000 0.000

## Properties
electronic total energy: -5.7217 eV per atom
DOS at the Fermi energy: 3.7 states/eV per cell
SG: No. 123
total magnetization: 9.16 μB/f.u.



K3CrTe2O9 | GGA+U | optimized geometry

a = 5.648 Å, b = 5.648 Å, c = 6.924 Å
α = 90.00°, β = 90.00°, γ = 120.00°
Atoms (fractional coordinates):
Te1 0.667 0.333 0.822
Te2 0.333 0.667 0.178
O1 0.830 0.170 0.673
O2 0.500 0.500 0.000
O3 0.170 0.830 0.327
O4 0.830 0.660 0.673
O5 0.660 0.830 0.327
O6 0.000 0.500 0.000
O7 0.500 0.000 0.000
O8 0.340 0.170 0.673
O9 0.170 0.340 0.327
Cr1 0.000 0.000 0.500
K1 0.333 0.667 0.664
K2 0.000 0.000 0.000
K3 0.667 0.333 0.336

## Properties
electronic total energy: -5.4302 eV per atom
DOS at the Fermi energy: 4.4 states/eV per cell
SG: No. 164
total magnetization: 3.09 μB/f.u.



K2CrTe2O6 | GGA+U | optimized geometry

a = 6.656 Å, b = 7.369 Å, c = 6.180 Å
α = 113.09°, β = 90.00°, γ = 116.85°
Atoms (fractional coordinates):
K1 0.655 0.311 0.167
K2 0.345 0.689 0.833
O1 0.690 0.985 0.267
O2 0.295 0.985 0.267
O3 0.705 0.015 0.733
O4 0.177 0.354 0.398
O5 0.310 0.015 0.733
O6 0.823 0.646 0.602
Te1 0.979 0.958 0.726
Te2 0.021 0.042 0.274
Cr1 0.500 0.000 0.500

## Properties
electronic total energy: -5.3360 eV per atom
DOS at the Fermi energy: 2.2 states/eV per cell
SG: No. 12
total magnetization: 2.93 μB/f.u.



KCrTeO6 | GGA+U | optimized geometry

a = 5.173 Å, b = 5.173 Å, c = 6.040 Å
α = 90.00°, β = 90.00°, γ = 60.00°
Atoms (fractional coordinates):
Cr1 0.667 0.667 0.500
Te1 0.333 0.333 0.500
O1 0.404 0.605 0.317
O2 0.991 0.404 0.317
O3 0.991 0.605 0.683
O4 0.605 0.404 0.683
O5 0.404 0.991 0.683
O6 0.605 0.991 0.317
K1 0.000 0.000 0.000

## Properties
electronic total energy: -5.8875 eV per atom
SG: No. 149
total magnetization: 1.00 μB/f.u.



K2CrTeO6 | GGA+U | optimized geometry

a = 5.620 Å, b = 5.620 Å, c = 5.620 Å
α = 60.00°, β = 60.00°, γ = 60.00°
Atoms (fractional coordinates):
Cr1 0.500 0.500 0.500
K1 0.250 0.250 0.250
K2 0.750 0.750 0.750
O1 0.245 0.755 0.755
O2 0.755 0.755 0.245
O3 0.755 0.245 0.245
O4 0.245 0.245 0.755
O5 0.245 0.755 0.245
O6 0.755 0.245 0.755
Te1 0.000 0.000 0.000

## Properties
electronic total energy: -5.5869 eV per atom
DOS at the Fermi energy: 8.7 states/eV per cell
SG: No. 225
total magnetization: 2.00 μB/f.u.



KCrTeO4 | GGA+U | optimized geometry

a = 5.938 Å, b = 5.689 Å, c = 8.035 Å
α = 90.00°, β = 118.29°, γ = 90.00°
Atoms (fractional coordinates):
O1 0.026 0.503 0.347
O2 0.974 0.497 0.653
O3 0.974 0.003 0.653
O4 0.026 0.997 0.347
O5 0.489 0.750 0.520
O6 0.518 0.750 0.210
O7 0.482 0.250 0.790
O8 0.511 0.250 0.480
Cr1 0.218 0.250 0.540
Cr2 0.782 0.750 0.460
K1 0.417 0.750 0.840
K2 0.583 0.250 0.160
Te1 0.807 0.250 0.725
Te2 0.193 0.750 0.275

## Properties
electronic total energy: -5.8778 eV per atom
SG: No. 11
total magnetization: 3.00 μB/f.u.



KTi2Cr2O7 | GGA+U | optimized geometry

a = 3.957 Å, b = 4.556 Å, c = 8.786 Å
α = 105.03°, β = 103.01°, γ = 90.00°
Atoms (fractional coordinates):
Ti1 0.612 0.675 0.225
Ti2 0.388 0.451 0.775
O1 0.623 0.075 0.247
O2 0.871 0.365 0.742
O3 0.736 0.712 0.472
O4 0.377 0.828 0.753
O5 0.500 0.501 0.000
O6 0.264 0.240 0.528
O7 0.129 0.623 0.258
K1 0.000 0.054 0.000
Cr1 0.747 0.235 0.494
Cr2 0.253 0.741 0.506

## Properties
electronic total energy: -7.9339 eV per atom
DOS at the Fermi energy: 1.5 states/eV per cell
SG: No. 44
total magnetization: 7.00 μB/f.u.



K3TiCr3O8 | GGA+U | optimized geometry

a = 6.109 Å, b = 6.109 Å, c = 7.116 Å
α = 115.47°, β = 90.00°, γ = 120.00°
Atoms (fractional coordinates):
O1 0.782 0.050 0.333
O2 0.278 0.556 0.334
O3 0.722 0.444 0.666
O4 0.268 0.050 0.333
O5 0.782 0.564 0.333
O6 0.218 0.436 0.667
O7 0.732 0.950 0.667
O8 0.218 0.950 0.667
Ti1 0.000 0.000 0.500
K1 0.000 0.500 0.000
K2 0.500 0.500 0.000
K3 0.000 0.000 0.000
Cr1 0.500 0.500 0.500
Cr2 0.000 0.500 0.500
Cr3 0.500 0.000 0.500

## Properties
electronic total energy: -6.9783 eV per atom
DOS at the Fermi energy: 0.0 states/eV per cell
SG: No. 166
total magnetization: 9.00 μB/f.u.



K2TiCrO5 | GGA+U | optimized geometry

a = 3.161 Å, b = 7.650 Å, c = 11.884 Å
α = 90.00°, β = 90.00°, γ = 101.92°
Atoms (fractional coordinates):
Ti1 0.437 0.875 0.443
Ti2 0.563 0.125 0.943
O1 0.490 0.981 0.314
O2 0.954 0.907 0.526
O3 0.314 0.628 0.418
O4 0.046 0.093 0.026
O5 0.716 0.432 0.127
O6 0.686 0.372 0.918
O7 0.284 0.568 0.627
O8 0.510 0.019 0.814
O9 0.335 0.670 0.997
O10 0.665 0.330 0.497
K1 0.899 0.798 0.167
K2 0.142 0.285 0.304
K3 0.101 0.202 0.667
K4 0.858 0.715 0.804
Cr1 0.777 0.553 0.529
Cr2 0.223 0.447 0.029

## Properties
electronic total energy: -6.7673 eV per atom
SG: No. 36
total magnetization: 2.00 μB/f.u.



KTlCrO4 | GGA+U | optimized geometry

a = 6.131 Å, b = 6.131 Å, c = 8.145 Å
α = 90.00°, β = 90.00°, γ = 116.79°
Atoms (fractional coordinates):
Cr1 0.853 0.147 0.750
Cr2 0.147 0.853 0.250
Tl1 0.500 0.500 0.500
Tl2 0.500 0.500 0.000
O1 0.266 0.159 0.250
O2 0.734 0.841 0.750
O3 0.841 0.734 0.250
O4 0.239 0.761 0.416
O5 0.239 0.761 0.084
O6 0.761 0.239 0.916
O7 0.159 0.266 0.750
O8 0.761 0.239 0.584
K1 0.814 0.186 0.250
K2 0.186 0.814 0.750

## Properties
electronic total energy: -5.8025 eV per atom
DOS at the Fermi energy: 0.0 states/eV per cell
SG: No. 63
total magnetization: 0.00 μB/f.u.



KTlCrO3 | GGA+U | optimized geometry

a = 5.469 Å, b = 6.455 Å, c = 6.918 Å
α = 62.19°, β = 84.76°, γ = 78.70°
Atoms (fractional coordinates):
K1 0.750 0.410 0.179
K2 0.250 0.590 0.821
Cr1 0.250 0.955 0.090
Cr2 0.750 0.045 0.910
O1 0.250 0.809 0.381
O2 0.484 0.851 0.932
O3 0.516 0.149 0.068
O4 0.984 0.783 0.068
O5 0.016 0.217 0.932
O6 0.750 0.191 0.619
Tl1 0.750 0.771 0.458
Tl2 0.250 0.229 0.542

## Properties
electronic total energy: -5.7058 eV per atom
SG: No. 15
total magnetization: 2.00 μB/f.u.



K2TlCrO4 | GGA+U | optimized geometry

a = 5.913 Å, b = 5.913 Å, c = 5.913 Å
α = 104.01°, β = 112.27°, γ = 112.27°
Atoms (fractional coordinates):
K1 0.500 0.750 0.250
K2 0.000 0.000 0.000
Cr1 0.000 0.500 0.500
O1 0.689 0.476 0.476
O2 0.000 0.524 0.213
O3 0.000 0.213 0.524
O4 0.311 0.787 0.787
Tl1 0.500 0.250 0.750

## Properties
electronic total energy: -5.3877 eV per atom
SG: No. 82
total magnetization: 1.00 μB/f.u.



K2TlCr2O7 | GGA+U | optimized geometry

a = 6.485 Å, b = 6.485 Å, c = 8.596 Å
α = 67.84°, β = 67.84°, γ = 60.00°
Atoms (fractional coordinates):
K1 0.774 0.774 0.678
K2 0.226 0.226 0.322
O1 0.679 0.159 0.302
O2 0.140 0.841 0.698
O3 0.841 0.321 0.698
O4 0.860 0.679 0.302
O5 0.000 0.000 0.000
O6 0.159 0.860 0.302
O7 0.321 0.140 0.698
Cr1 0.076 0.076 0.772
Cr2 0.924 0.924 0.228
Tl1 0.500 0.500 0.500

## Properties
electronic total energy: -5.8967 eV per atom
DOS at the Fermi energy: 7.0 states/eV per cell
SG: No. 155
total magnetization: 1.00 μB/f.u.



K2Tl2CrO6 | GGA+U | optimized geometry

a = 5.693 Å, b = 5.693 Å, c = 6.578 Å
α = 98.73°, β = 98.73°, γ = 118.90°
Atoms (fractional coordinates):
O1 0.056 0.349 0.677
O2 0.651 0.944 0.323
O3 0.944 0.651 0.323
O4 0.774 0.774 0.675
O5 0.226 0.226 0.325
O6 0.349 0.056 0.677
K1 0.830 0.170 0.000
K2 0.170 0.830 0.000
Tl1 0.665 0.335 0.500
Tl2 0.335 0.665 0.500
Cr1 0.000 0.000 0.500

## Properties
electronic total energy: -5.1691 eV per atom
DOS at the Fermi energy: 3.6 states/eV per cell
SG: No. 12
total magnetization: 1.94 μB/f.u.



K3TlCr2O8 | GGA+U | optimized geometry

a = 6.110 Å, b = 6.110 Å, c = 8.278 Å
α = 90.00°, β = 90.00°, γ = 120.00°
Atoms (fractional coordinates):
O1 0.368 0.184 0.727
O2 0.632 0.816 0.273
O3 0.184 0.816 0.273
O4 0.667 0.333 0.994
O5 0.816 0.632 0.727
O6 0.184 0.368 0.273
O7 0.333 0.667 0.006
O8 0.816 0.184 0.727
K1 0.667 0.333 0.305
K2 0.000 0.000 0.000
K3 0.333 0.667 0.695
Tl1 0.000 0.000 0.500
Cr1 0.333 0.667 0.205
Cr2 0.667 0.333 0.795

## Properties
electronic total energy: -5.8307 eV per atom
DOS at the Fermi energy: 0.0 states/eV per cell
SG: No. 164
total magnetization: 0.00 μB/f.u.